Compound: TaTc2Mo
Source: the Alexandria database
Functional: GGA-PBEsol
Structure: optimized geometry

The structure in extended XYZ format:
```
4
Lattice="-1.641 -2.124 -0.473 1.595 -0.509 2.150 -6.013 3.469 5.283" Properties=species:S:1:pos:R:3 pbc="T T T"
Mo -3.053 1.761 2.682
Ta -1.503 -0.462 2.139
Tc -5.980 3.449 5.254
Tc -4.541 1.291 4.808
```

Summary:
Distance to the lowest polymorph of the same formula = 0.222 eV/atom
ΔE_f = 45 meV/atom
VASP energy = -11.668 eV per atom